Record 1
First-principles (PBE) data for a geometry-optimized Te2MoC structure, as listed in the Alexandria database.

Computed properties:
formation energy without anion corrections: 1.33 eV per atom
density of states at the Fermi level: 1.92 states/eV/f.u.
symmetry: R-3m

Cell lengths 7.6372, 7.6372, 7.6372 Å; angles 28.31, 28.31, 28.31 degrees
Closest atoms and distances in Å follow each position.
Element x y z (fractional)
Mo  0.5000  0.5000  0.5000  6 Te 2.75
Te  0.0887  0.0887  0.0887  1 C 1.95
Te  0.9113  0.9113  0.9113  1 C 1.95
C  0.0000  0.0000  0.0000  2 Te 1.95

***

Record 2
First-principles (PBE) data for a geometry-optimized Te2MoC2 structure, as listed in the Alexandria database.

Computed properties:
formation energy without anion corrections: 1.51 eV per atom
density of states at the Fermi level: 2.89 states/eV/f.u.
symmetry: P4/mbm

Cell lengths 6.7401, 6.7401, 3.4783 Å; angles 90.00, 90.00, 90.00 degrees
Closest atoms and distances in Å follow each position.
Element x y z (fractional)
Mo  0.0000  0.0000  0.0000  4 C 2.44
Mo  0.5000  0.5000  0.0000  4 C 2.44
Te  0.1692  0.6692  0.5000  2 C 2.17
Te  0.6692  0.8308  0.5000  2 C 2.17
Te  0.8308  0.3308  0.5000  2 C 2.17
Te  0.3308  0.1692  0.5000  2 C 2.17
C  0.3056  0.8056  0.0000  2 Te 2.17
C  0.8056  0.6944  0.0000  2 Te 2.17
C  0.6944  0.1944  0.0000  2 Te 2.17
C  0.1944  0.3056  0.0000  2 Te 2.17

***

Record 3
First-principles (PBE) data for a geometry-optimized TeMo2C structure, as listed in the Alexandria database.

Computed properties:
formation energy without anion corrections: 1.18 eV per atom
density of states at the Fermi level: 3.23 states/eV/f.u.
symmetry: Fm-3m

Cell lengths 4.3745, 4.3745, 4.3745 Å; angles 60.00, 60.00, 60.00 degrees
Closest atoms and distances in Å follow each position.
Element x y z (fractional)
Mo  0.2500  0.2500  0.2500  4 Te 2.68, 4 C 2.68
Mo  0.7500  0.7500  0.7500  4 Te 2.68, 4 C 2.68
Te  0.5000  0.5000  0.5000  8 Mo 2.68
C  0.0000  0.0000  0.0000  8 Mo 2.68

***

Record 4
First-principles (PBE) data for a geometry-optimized Te2MoC2 structure, as listed in the Alexandria database.

Computed properties:
formation energy without anion corrections: 1.06 eV per atom
density of states at the Fermi level: 2.22 states/eV/f.u.
symmetry: I4/mmm

Cell lengths 5.3285, 5.3285, 4.7477 Å; angles 55.86, 55.86, 90.00 degrees
Closest atoms and distances in Å follow each position.
Element x y z (fractional)
Mo  0.0000  0.0000  0.0000  2 C 2.24
Te  0.7500  0.2500  0.5000  4 C 2.78, 2 Te 2.89, 4 Mo 3.03
Te  0.2500  0.7500  0.5000  4 C 2.78, 2 Te 2.89, 4 Mo 3.03
C  0.3884  0.3884  0.2231  1 C 1.29
C  0.6116  0.6116  0.7769  1 C 1.29

***

Record 5
First-principles (PBE) data for a geometry-optimized TeMo2C structure, as listed in the Alexandria database.

Computed properties:
formation energy without anion corrections: 0.63 eV per atom
density of states at the Fermi level: 2.66 states/eV/f.u.
symmetry: I-42d

Cell lengths 5.1211, 5.1211, 6.8596 Å; angles 68.08, 68.08, 90.00 degrees
Closest atoms and distances in Å follow each position.
Element x y z (fractional)
Mo  0.4969  0.1250  0.2500  2 C 2.04
Mo  0.2531  0.6250  0.2500  2 C 2.04
Mo  0.3750  0.5031  0.7500  2 C 2.04
Mo  0.8750  0.7469  0.7500  2 C 2.04
Te  0.0000  0.0000  0.0000  4 Mo 2.74
Te  0.7500  0.2500  0.5000  4 Mo 2.74
C  0.5000  0.5000  0.0000  4 Mo 2.04
C  0.2500  0.7500  0.5000  4 Mo 2.04

***

Record 6
First-principles (PBE) data for a geometry-optimized TeMo3C structure, as listed in the Alexandria database.

Computed properties:
formation energy without anion corrections: 0.40 eV per atom
density of states at the Fermi level: 6.67 states/eV/f.u.
symmetry: Pm-3m

Cell lengths 4.2330, 4.2330, 4.2330 Å; angles 90.00, 90.00, 90.00 degrees
Closest atoms and distances in Å follow each position.
Element x y z (fractional)
Mo  0.0000  0.5000  0.0000  2 C 2.12
Mo  0.0000  0.0000  0.5000  2 C 2.12
Mo  0.5000  0.0000  0.0000  2 C 2.12
Te  0.5000  0.5000  0.5000  12 Mo 2.99
C  0.0000  0.0000  0.0000  6 Mo 2.12

***

Record 7
First-principles (PBE) data for a geometry-optimized Te2MoC structure, as listed in the Alexandria database.

Computed properties:
formation energy without anion corrections: 1.63 eV per atom
density of states at the Fermi level: 3.79 states/eV/f.u.
symmetry: R-3m

Cell lengths 8.5201, 8.5201, 8.5201 Å; angles 22.44, 22.44, 22.44 degrees
Closest atoms and distances in Å follow each position.
Element x y z (fractional)
Mo  0.0000  0.0000  0.0000  2 Te 2.62
Te  0.8950  0.8950  0.8950  3 C 2.45, 1 Mo 2.62
Te  0.1050  0.1050  0.1050  3 C 2.45, 1 Mo 2.62
C  0.5000  0.5000  0.5000  6 Te 2.45

***

Record 8
First-principles (PBE) data for a geometry-optimized Te3MoC structure, as listed in the Alexandria database.

Computed properties:
formation energy without anion corrections: 1.31 eV per atom
density of states at the Fermi level: 2.17 states/eV/f.u.
symmetry: Pm-3m

Cell lengths 4.7112, 4.7112, 4.7112 Å; angles 90.00, 90.00, 90.00 degrees
Closest atoms and distances in Å follow each position.
Element x y z (fractional)
Mo  0.5000  0.5000  0.5000  12 Te 3.33
Te  0.0000  0.5000  0.0000  2 C 2.36
Te  0.0000  0.0000  0.5000  2 C 2.36
Te  0.5000  0.0000  0.0000  2 C 2.36
C  0.0000  0.0000  0.0000  6 Te 2.36